Computed, not measured: crystalline Ac3Be2GePd9 at its relaxed geometry at the PBE-GGA level of DFT.

The structure in POSCAR format:
```
Ac3Be2GePd9
1.0
6.1249 0.0000 0.0000
-3.0625 5.3044 0.0000
0.0000 0.0000 9.0538
Ac Be Ge Pd
3 2 1 9
Cartesian
0.0000 3.5362 5.8928
0.0000 0.0000 0.0000
3.0625 1.7681 3.1609
0.0000 3.5362 1.3579
3.0625 1.7681 7.6958
0.0000 0.0000 4.5269
4.6007 0.8800 6.3685
3.0625 3.5443 6.3685
1.5243 0.8800 6.3685
1.5382 4.4243 2.6853
0.0000 1.7601 2.6853
-1.5382 4.4243 2.6853
3.0625 0.0000 0.0000
-1.5312 2.6522 0.0000
1.5312 2.6522 0.0000
```

Calculated values
Calculated formation energy (meV per atom): -684.0
Uncorrected energy (eV for the cell shown): -81.391
SG: No. 164